A relaxed structure of SbTe2PtBr, computed with PBE-GGA.

```
data_SbTe2PtBr
_cell_length_a 5.345
_cell_length_b 5.345
_cell_length_c 5.376
_cell_angle_alpha 90.00
_cell_angle_beta 90.00
_cell_angle_gamma 90.00
_symmetry_space_group_name_H-M 'P 4/m m m'
_symmetry_Int_Tables_number 123
_symmetry_space_group_name_Hall '-P 4 2'
loop_
_atom_site_label
_atom_site_type_symbol
_atom_site_fract_x
_atom_site_fract_y
_atom_site_fract_z
Sb1 Sb 0.000 0.000 0.000
Te1 Te 0.000 0.500 0.500
Pt1 Pt 0.000 0.000 0.500
Br1 Br 0.500 0.500 0.000
```

For the calculated volume, the calculation gives 153.6 Å³ per cell. For the energy above the lowest structure with this stoichiometry, the calculation gives 0 meV/atom. The value obtained for the total energy is -3.2938 eV/atom.